Entry 1:
PmNd6Y2Ho3: relaxed, PBE.

Properties
The value obtained for the formation energy is 11 meV per atom.

abc: 6.2898 10.8934 11.9082
angles: 90.00 100.11 90.00
With the nearest neighbours (Å) after each atom.
Space group C2/m (No. 12)
Unique sites:
Pm1 0.0000 0.0000 0.0000 x2  6 Nd 3.62-3.63, 6 Y 3.63
Nd1 0.2487 0.0000 0.7478 x4  3 Ho 3.58, 1 Pm 3.62, 2 Y 3.63, 6 Nd 3.63
Nd2 0.2490 0.3334 0.7477 x8  3 Ho 3.58, 2 Y 3.62-3.63, 1 Pm 3.63, 6 Nd 3.63
Y1 0.0000 0.3334 0.0000 x4  6 Nd 3.62-3.63, 3 Y 3.63, 3 Pm 3.63
Ho1 0.0000 0.1668 0.5000 x4  6 Nd 3.58, 6 Ho 3.63
Ho2 0.0000 0.5000 0.5000 x2  6 Nd 3.58, 6 Ho 3.63

=====

Entry 2:
RbTlOs3: relaxed, PBE.

Properties
Its energy above the most stable polymorph in this dataset is 0.000 eV per formula unit. The value obtained for the formation energy is 2936 meV per atom.

abc: 5.1754 5.1754 5.1754
angles: 90.00 90.00 90.00
With the nearest neighbours (Å) after each atom.
Space group Pm-3m (No. 221)
Unique sites:
Rb1 0.0000 0.0000 0.0000 x1  12 Os 3.66
Tl1 0.5000 0.5000 0.5000 x1  6 Os 2.59
Os1 0.0000 0.5000 0.5000 x3  2 Tl 2.59

=====

Entry 3:
Cs2BaN: relaxed, PBE.

Properties
The calculation puts the uncorrected formation energy at 0.308 eV per atom. Its energy above the most stable polymorph in this dataset is 0.000 eV per formula unit.

abc: 13.8037 13.8037 4.9138
angles: 90.00 90.00 90.00
With the nearest neighbours (Å) after each atom.
Space group I-42d (No. 122)
Unique sites:
Cs1 0.0751 0.2500 0.1250 x8  2 N 3.66, 2 Ba 4.05
Ba1 0.0000 0.0000 0.5000 x4  2 N 2.46
N1 0.0000 0.0000 0.0000 x4  2 Ba 2.46

=====

Entry 4:
TmSb2S4: relaxed, PBE.

Properties
The calculation puts the uncorrected formation energy at -0.689 eV per atom.

abc: 4.0859 12.7871 12.7899
angles: 90.00 90.00 90.00
With the nearest neighbours (Å) after each atom.
Space group Cmcm (No. 63)
Unique sites:
Tm1 0.0000 0.1252 0.2500 x4  6 S 2.71-2.88
Sb1 0.0000 0.3770 0.0615 x8  6 S 2.67-2.96
S1 0.0000 0.0000 0.0000 x4  4 Sb 2.70
S2 0.0000 0.2789 0.6229 x8  3 Sb 2.67-2.96, 2 Tm 2.88
S3 0.0000 0.4866 0.2500 x4  2 Tm 2.71, 2 Sb 2.79